DFT (GGA+U) results for crystalline W2SO at its relaxed geometry.

Cell lengths 4.233, 4.233, 7.507 Å; angles 73.62, 73.62, 90.00 degrees
Each line ends with the local moment (μB).
Sites, in units of the cell vectors:
S1 0.000 0.000 0.000  0.01
S2 0.750 0.250 0.500  0.01
O1 0.500 0.500 0.000  -0.02
O2 0.250 0.750 0.500  -0.02
W1 0.566 0.125 0.250  0.07
W2 0.184 0.625 0.250  0.07
W3 0.375 0.434 0.750  0.12
W4 0.875 0.816 0.750  0.12

Properties
Polymorph energy (0 for the lowest one) = 0.000 eV/f.u.
Theoretical density = 11.2 g/cm³
SG = I-42d
D(E_F) = 0.396 states/eV per atom
Volume = 15.4 Å³/atom